(1)
The following is a PBE calculation of a relaxed NaCu3ReSe4 crystal, from OQMD via LeMat-Bulk.

```
NaCu3ReSe4
1.0
5.8931 0.0000 0.0000
0.0000 5.8931 0.0000
0.0000 0.0000 5.8931
Na Cu Re Se
1 3 1 4
Cartesian
0.0000 0.0000 0.0000
0.0000 2.9465 2.9465
2.9465 0.0000 2.9465
2.9465 2.9465 0.0000
2.9465 2.9465 2.9465
1.5511 1.5511 1.5511
1.5511 4.3420 4.3420
4.3420 1.5511 4.3420
4.3420 4.3420 1.5511
```

Properties
E: -4.40 eV per atom

(2)
The following is a PBE calculation of a relaxed Pm5InTe4 crystal, from OQMD via LeMat-Bulk.

```
Pm5InTe4
1.0
-5.0088 5.0088 3.1597
5.0088 -5.0088 3.1597
5.0088 5.0088 -3.1597
Pm In Te
5 1 4
Cartesian
0.0000 0.0000 0.0000
4.0277 2.0521 0.0000
2.9566 -0.9810 3.1597
2.0521 5.9898 0.0000
0.9810 2.9566 3.1597
0.0000 0.0000 3.1597
7.0036 0.9815 0.0000
0.9815 3.0139 0.0000
4.0272 1.9949 3.1597
-1.9949 4.0272 3.1597
```

Properties
E: -5.15 eV per atom

(3)
The following is a PBE calculation of a relaxed AlAsIrO crystal, from OQMD via LeMat-Bulk.

```
AlAsIrO
1.0
2.8919 0.0000 0.0000
0.0000 7.0258 0.0000
0.0000 0.0000 5.8748
Al As Ir O
2 2 2 2
Cartesian
0.0000 1.6572 0.0000
0.0000 5.3686 2.9374
0.0000 1.9233 2.9287
0.0000 5.1026 5.8661
1.4460 3.5078 4.3970
1.4460 3.5180 1.4596
1.4460 0.6907 5.8738
1.4460 6.3351 2.9364
```

Properties
Relative energy among the computed polymorphs: 0 meV/atom

(4)
The following is a PBE calculation of a relaxed Lu4Ta2Au3C3 crystal, from OQMD via LeMat-Bulk.

```
Lu4Ta2Au3C3
1.0
5.0863 -2.9534 0.0000
5.0863 2.9534 0.0000
-3.3060 0.0000 14.0547
Lu Ta Au C
8 4 6 6
Cartesian
0.8390 0.4158 1.4440
0.8387 0.5188 5.5833
-0.8140 -0.4158 8.4714
-0.8143 -0.5188 12.6106
7.6809 0.5188 1.4441
7.6805 0.4158 5.5834
6.0279 -0.5188 8.4715
6.0275 -0.4158 12.6107
4.1709 0.5415 1.0384
4.3487 0.5415 5.9890
2.5179 -0.5415 8.0657
2.6957 -0.5415 13.0163
4.2598 2.1159 3.5137
1.1569 0.3759 10.5337
2.8099 -0.3759 3.5063
4.0566 0.3759 10.5484
5.7096 -0.3759 3.5211
2.6068 -2.1159 10.5410
2.5431 1.4767 0.0000
2.6746 1.3231 7.0319
2.5390 1.3231 14.0502
0.8901 -1.4767 7.0274
4.3276 -1.3231 0.0046
4.1920 -1.3231 7.0228
```

Properties
E: -7.17 eV per atom

(5)
The following is a PBE calculation of a relaxed NaLiZrSe3 crystal, from OQMD via LeMat-Bulk.

```
NaLiZrSe3
1.0
7.7296 0.0000 0.0000
0.0000 3.9189 0.0000
-2.7398 0.0000 9.2920
Na Li Zr Se
2 2 2 6
Cartesian
1.3068 0.9797 1.7996
3.6829 2.9392 7.4924
0.7739 0.9797 8.4336
4.2159 2.9392 0.8585
-0.3819 2.9392 6.1612
5.3717 0.9797 3.1309
-0.4185 2.9392 3.3702
-0.7252 2.9392 8.7988
1.4519 0.9797 6.0547
3.5378 2.9392 3.2374
5.7150 0.9797 0.4932
5.4082 0.9797 5.9218
```

Properties
Relative energy among the computed polymorphs: 4 meV/atom

(6)
The following is a PBE calculation of a relaxed LuFeCoBi crystal, from OQMD via LeMat-Bulk.

```
LuFeCoBi
1.0
6.6745 0.0000 0.0000
0.0000 6.6745 0.0000
0.0000 0.0000 6.6745
Lu Fe Co Bi
4 4 4 4
Cartesian
0.0000 0.0000 0.0000
0.0000 3.3372 3.3372
3.3372 0.0000 3.3372
3.3372 3.3372 0.0000
1.6686 1.6686 5.0059
1.6686 5.0059 1.6686
5.0059 1.6686 1.6686
5.0059 5.0059 5.0059
0.0000 0.0000 3.3372
0.0000 3.3372 0.0000
3.3372 0.0000 0.0000
3.3372 3.3372 3.3372
1.6686 1.6686 1.6686
1.6686 5.0059 5.0059
5.0059 1.6686 5.0059
5.0059 5.0059 1.6686
```

Properties
Relative energy among the computed polymorphs: 229 meV/atom

no.,mass density (g cm⁻³)
1,5.81
2,7.07
3,8.63
4,13.28
5,4.22
6,11.14